An optimized crystal structure of ZnCo2Au, computed with PBE.

Lattice parameters (Å, degrees): 2.7720 2.7720 7.0405 90.00 90.00 90.00
Closest atoms and distances in Å follow each position.
Space group P4mm (No. 99)
One atom of each set of equivalent atoms:
Zn 0.0000 0.0000 0.0000 (multiplicity 1)  4 Co 2.57, 4 Zn 2.77, 4 Au 2.83
Co 0.0000 0.0000 0.5702 (multiplicity 1)  4 Co 2.39
Co 0.5000 0.5000 0.7641 (multiplicity 1)  4 Co 2.39, 4 Zn 2.57
Au 0.5000 0.5000 0.2897 (multiplicity 1)  4 Au 2.77, 4 Co 2.78, 4 Zn 2.83

Calculated values
electronic total energy: -0.3431 Ry per atom
magnetization: 3.04 μB/f.u.
crystal system: tetragonal
formation energy: 23 meV/atom

=====

An optimized crystal structure of AcAl3Pd, computed with PBE.

Lattice parameters (Å, degrees): 6.2906 6.2965 6.2911 90.00 119.83 90.00
Closest atoms and distances in Å follow each position.
Space group Cm (No. 8)
One atom of each set of equivalent atoms:
Ac 0.0000 0.0000 0.0000 (multiplicity 2)  12 Al 3.32-3.56, 4 Pd 3.48-3.50
Al 0.0044 0.2497 0.5076 (multiplicity 4)  2 Pd 2.56, 2 Al 2.76
Al 0.4032 0.0000 0.8058 (multiplicity 2)  1 Pd 2.57, 4 Al 2.76
Pd 0.1389 0.5000 0.2765 (multiplicity 2)  5 Al 2.56-2.57

Calculated values
electronic total energy: -0.3506 Ry per atom
magnetization: 0.00 μB/f.u.
crystal system: monoclinic
formation energy: -665 meV/atom

=====

- Which of these has the lowest magnetization?
  AcAl3Pd